{
  "formula": "H2PbS2",
  "functional": "PBE-GGA",
  "state": "relaxed",
  "mass_density_g_cm3": 4.1,
  "e_tot_ev_per_atom": -4.01,
  "sg": "Pm, No. 6",
  "lattice_angstrom": [[4.3410, 0.0000, 0.0000], [0.0000, 4.3441, 0.0000], [-0.2903, 0.0000, 5.8556]],
  "species": ["H", "H", "Pb", "S", "S"],
  "frac_coords": [[0.0000, 0.0000, 0.0000], [0.2878, 0.5000, 0.7115], [0.5617, 0.5000, 0.2441], [0.0324, 0.0000, 0.2312], [0.5993, 0.5000, 0.7158]]
}